1.
A relaxed structure of Y2B2Ir, computed with PBE.

```
10
Lattice="6.378 0.000 0.000 0.000 6.378 0.000 0.000 0.000 3.807" Properties=species:S:1:pos:R:3 pbc="T T T"
Y 1.203 4.393 1.903
Y 4.393 5.175 1.903
Y 5.175 1.986 1.903
Y 1.986 1.203 1.903
B 2.574 5.763 0.000
B 5.763 3.805 0.000
B 3.805 0.615 0.000
B 0.615 2.574 0.000
Ir 0.000 0.000 0.000
Ir 3.189 3.189 0.000
```

Computed properties:
crystal system: tetragonal
electronic total energy: -7.52 eV/atom
formation energy: -0.4876 eV per atom
symmetry: P4/mbm (127)

2.
A relaxed structure of Y2B7Ir12, computed with PBE.

```
21
Lattice="-2.870 -1.390 -2.338 4.908 -7.257 -1.711 -5.649 0.040 6.911" Properties=species:S:1:pos:R:3 pbc="T T T"
Y -1.435 -0.695 -1.169
Y 1.389 -4.825 1.163
B -2.130 -2.392 4.037
B -4.358 -0.049 5.379
B -1.807 -5.548 5.517
B -0.225 -1.579 1.215
B -1.513 -5.116 1.556
B 0.956 -7.454 -0.086
B 0.419 -3.988 -1.487
Ir -0.573 -7.076 1.567
Ir 1.493 -6.000 -1.610
Ir -1.058 -3.483 0.026
Ir -4.701 -2.523 3.927
Ir -2.964 -4.616 3.040
Ir -3.030 -2.122 1.639
Ir -2.915 -0.466 3.856
Ir -2.778 -3.644 5.577
Ir -0.696 -3.067 2.678
Ir -0.455 -5.467 3.809
Ir 3.445 -7.111 -0.002
Ir 1.177 -1.896 -0.317
```

Computed properties:
crystal system: hexagonal
electronic total energy: -8.32 eV/atom
formation energy: -0.4109 eV per atom
symmetry: P-6 (174)

3.
A relaxed structure of Y2B3Ir2, computed with PBE.

```
7
Lattice="-1.532 -0.815 -3.316 4.142 -2.894 0.909 -6.340 -1.210 3.225" Properties=species:S:1:pos:R:3 pbc="T T T"
Y 0.852 -3.500 -1.645
Y -4.581 -1.419 2.464
B -0.766 -0.407 -1.658
B -1.318 -1.829 -1.054
B -2.411 -3.089 1.872
Ir -3.216 -2.451 -0.024
Ir -0.513 -2.467 0.843
```

Computed properties:
crystal system: monoclinic
electronic total energy: -7.74 eV/atom
formation energy: -0.5044 eV per atom
symmetry: C2/m (12)

4.
A relaxed structure of YB2Ir, computed with PBE.

```
4
Lattice="3.482 -2.262 -0.092 0.134 -3.684 1.912 0.147 -3.496 -2.237" Properties=species:S:1:pos:R:3 pbc="T T T"
Y 0.000 0.000 0.000
B 0.941 -2.360 -0.104
B 2.822 -7.081 -0.312
Ir 1.881 -4.721 -0.208
```

Computed properties:
polymorph energy (0 for the lowest one): 52.5 kJ/mol of atoms
crystal system: cubic
electronic total energy: -7.07 eV/atom
formation energy: 0.0958 eV per atom
symmetry: Fm-3m (225)

5.
A relaxed structure of YBIr2, computed with PBE.

```
4
Lattice="3.483 0.000 0.000 1.742 3.017 0.000 1.742 1.006 6.277" Properties=species:S:1:pos:R:3 pbc="T T T"
Y 0.000 0.000 0.000
B 3.483 2.011 3.139
Ir 5.225 3.017 4.087
Ir 1.742 1.006 2.190
```

Computed properties:
crystal system: trigonal
electronic total energy: -7.94 eV/atom
formation energy: -0.2216 eV per atom
symmetry: R-3m (166)

6.
A relaxed structure of YB2Ir, computed with PBE.

```
8
Lattice="-0.450 4.000 -1.546 -3.860 0.299 1.899 0.793 4.645 5.775" Properties=species:S:1:pos:R:3 pbc="T T T"
Y -2.155 2.150 0.176
Y -2.611 3.547 3.925
B -0.679 4.700 0.328
B -2.608 4.848 1.278
B -0.056 5.022 3.989
B -0.283 7.022 3.217
Ir 0.000 0.000 0.000
Ir -0.907 5.398 2.203
```

Computed properties:
polymorph energy (0 for the lowest one): 2.9 kJ/mol of atoms
crystal system: tetragonal
electronic total energy: -7.59 eV/atom
formation energy: -0.4185 eV per atom
symmetry: I4_1/amd (141)

7.
A relaxed structure of Y2BIr, computed with PBE.

```
8
Lattice="7.077 0.000 0.000 0.000 7.077 0.000 3.538 3.538 3.431" Properties=species:S:1:pos:R:3 pbc="T T T"
Y 5.139 1.769 0.858
Y 1.937 5.307 0.858
Y 5.307 5.475 2.574
Y 8.846 8.678 2.574
B 3.538 3.538 0.000
B 3.538 7.077 1.716
Ir 0.000 0.000 0.000
Ir 7.077 3.538 1.716
```

Computed properties:
crystal system: tetragonal
electronic total energy: -6.91 eV/atom
formation energy: 0.2036 eV per atom
symmetry: I-42d (122)

8.
A relaxed structure of YBIr, computed with PBE.

```
3
Lattice="-0.181 -1.085 -4.139 -3.148 -1.816 0.613 -0.080 3.565 -0.931" Properties=species:S:1:pos:R:3 pbc="T T T"
Y -1.223 1.048 -3.175
B -2.156 -0.203 -0.591
Ir -0.030 -0.181 -0.690
```

Computed properties:
polymorph energy (0 for the lowest one): 0.0 kJ/mol of atoms
crystal system: hexagonal
electronic total energy: -7.99 eV/atom
formation energy: -0.6598 eV per atom
symmetry: P-6m2 (187)

9.
A relaxed structure of YB2Ir3, computed with PBE.

```
18
Lattice="-0.582 1.138 -3.383 3.460 -7.576 -3.143 -8.724 0.546 1.685" Properties=species:S:1:pos:R:3 pbc="T T T"
Y -0.291 0.569 -1.691
Y -0.601 -4.868 -1.534
Y -4.663 -2.161 0.076
B 0.860 -5.467 -3.919
B -0.633 -2.199 -2.563
B -2.904 -5.232 -3.192
B -6.706 -0.424 -0.921
B -5.213 -3.692 -2.277
B -2.942 -0.660 -1.648
Ir -2.923 -2.946 -2.420
Ir -4.653 0.842 -0.849
Ir 1.439 -3.219 -3.263
Ir -3.777 -5.044 -1.046
Ir 0.996 -7.421 -2.667
Ir 0.977 -2.140 -0.888
Ir -1.487 -1.985 -0.412
Ir -6.260 0.392 1.209
Ir 2.483 -5.436 -2.255
```

Computed properties:
polymorph energy (0 for the lowest one): 29.4 kJ/mol of atoms
crystal system: hexagonal
electronic total energy: -8.11 eV/atom
formation energy: -0.3736 eV per atom
symmetry: P6/mmm (191)

10.
A relaxed structure of YB6Ir5, computed with PBE.

```
12
Lattice="-0.575 -3.517 -3.910 4.326 -1.207 -4.044 1.602 -5.557 1.171" Properties=species:S:1:pos:R:3 pbc="T T T"
Y 4.326 -1.207 -4.044
B 3.417 -5.823 -3.695
B 2.065 -7.046 -4.361
B 2.175 -7.116 -1.059
B 3.179 -3.165 -5.724
B 3.288 -3.235 -2.421
B 1.937 -4.457 -3.088
Ir 2.066 -5.077 -5.143
Ir 4.898 -7.036 -6.038
Ir 1.876 -2.362 -3.977
Ir 0.456 -3.245 -0.745
Ir 3.288 -5.203 -1.639
```

Computed properties:
crystal system: triclinic
electronic total energy: -7.83 eV/atom
formation energy: -0.2561 eV per atom
symmetry: P-1 (2)

11.
A relaxed structure of Y2B6Ir9, computed with PBE.

```
17
Lattice="5.657 0.000 0.000 -2.829 4.899 0.000 0.000 0.000 8.644" Properties=species:S:1:pos:R:3 pbc="T T T"
Y 0.000 0.000 6.075
Y 0.000 0.000 2.569
B 0.000 3.266 0.000
B 2.829 1.633 0.000
B 0.000 3.266 5.769
B 2.829 1.633 5.769
B 2.829 1.633 2.875
B 0.000 3.266 2.875
Ir 2.829 0.000 7.226
Ir -1.414 2.450 7.226
Ir 1.414 2.450 7.226
Ir 2.829 0.000 1.418
Ir -1.414 2.450 1.418
Ir 1.414 2.450 1.418
Ir 2.829 0.000 4.322
Ir -1.414 2.450 4.322
Ir 1.414 2.450 4.322
```

Computed properties:
crystal system: hexagonal
electronic total energy: -8.38 eV/atom
formation energy: -0.5730 eV per atom
symmetry: P6/mmm (191)

12.
A relaxed structure of YB4Ir12, computed with PBE.

```
17
Lattice="6.778 0.000 0.000 -2.259 6.390 0.000 -2.259 -3.195 5.534" Properties=species:S:1:pos:R:3 pbc="T T T"
Y 0.000 0.000 0.000
B -1.130 3.195 0.000
B 3.389 0.000 0.000
B 1.130 1.598 2.767
B -1.130 -1.598 2.767
Ir 4.551 1.575 0.844
Ir 0.689 2.606 0.942
Ir 3.830 -1.077 3.749
Ir -0.032 -1.677 4.592
Ir -1.570 4.272 1.786
Ir 1.570 0.590 4.592
Ir 2.227 0.057 1.786
Ir 0.032 3.139 3.749
Ir 2.292 4.872 0.942
Ir 2.948 2.708 2.807
Ir -0.689 0.487 2.727
Ir -2.292 1.621 4.690
```

Computed properties:
crystal system: cubic
electronic total energy: -8.09 eV/atom
formation energy: 0.1112 eV per atom
symmetry: Im-3 (204)

13.
A relaxed structure of Y4B6Ir7, computed with PBE.

```
17
Lattice="6.541 0.000 -2.313 -3.271 5.665 -2.313 0.000 0.000 6.938" Properties=species:S:1:pos:R:3 pbc="T T T"
Y 3.271 0.000 -1.156
Y 1.635 2.832 1.156
Y -1.635 2.832 -1.156
Y 0.000 0.000 3.469
B 4.123 0.000 2.915
B 2.061 3.571 -2.915
B -1.209 2.094 1.710
B 2.418 0.000 1.710
B 1.209 2.094 -1.710
B -2.061 3.571 2.915
Ir 3.271 2.832 -1.156
Ir -0.818 4.249 1.156
Ir 0.818 4.249 -1.156
Ir 4.088 1.416 1.156
Ir 0.000 2.832 3.469
Ir 2.453 1.416 3.469
Ir 0.000 0.000 0.000
```

Computed properties:
crystal system: cubic
electronic total energy: -7.94 eV/atom
formation energy: -0.4119 eV per atom
symmetry: Im-3m (229)

14.
A relaxed structure of YB2Ir3, computed with PBE.

```
6
Lattice="-1.059 -3.713 3.883 5.093 0.566 -1.930 0.603 2.152 2.222" Properties=species:S:1:pos:R:3 pbc="T T T"
Y 0.301 1.076 1.111
B 1.293 -1.211 3.056
B 3.344 0.216 1.118
Ir -0.530 -1.857 1.941
Ir 2.017 -1.573 0.976
Ir 2.547 0.283 -0.965
```

Computed properties:
polymorph energy (0 for the lowest one): 0.0 kJ/mol of atoms
crystal system: hexagonal
electronic total energy: -8.41 eV/atom
formation energy: -0.6787 eV per atom
symmetry: P6/mmm (191)

15.
A relaxed structure of YB2Ir, computed with PBE.

```
4
Lattice="-3.439 0.414 1.262 -2.839 -0.001 -2.352 -2.476 -4.466 0.102" Properties=species:S:1:pos:R:3 pbc="T T T"
Y -4.377 -2.027 -0.494
B -2.136 -0.380 -0.311
B -6.619 -3.673 -0.677
Ir 0.000 0.000 0.000
```

Computed properties:
polymorph energy (0 for the lowest one): 0.0 kJ/mol of atoms
crystal system: trigonal
electronic total energy: -7.62 eV/atom
formation energy: -0.4484 eV per atom
symmetry: R-3m (166)

16.
A relaxed structure of YBIr2, computed with PBE.

```
4
Lattice="-3.179 -0.898 2.597 2.617 -3.041 -1.247 2.830 0.889 3.773" Properties=species:S:1:pos:R:3 pbc="T T T"
Y 1.415 0.444 1.886
B 0.000 0.000 0.000
Ir 0.685 -2.327 0.034
Ir -1.247 -1.613 1.315
```

Computed properties:
crystal system: hexagonal
electronic total energy: -7.70 eV/atom
formation energy: 0.0122 eV per atom
symmetry: P6/mmm (191)

17.
A relaxed structure of YB5Ir6, computed with PBE.

```
12
Lattice="1.447 0.446 5.665 -2.084 -3.423 3.837 5.059 -3.331 2.049" Properties=species:S:1:pos:R:3 pbc="T T T"
Y 0.000 0.000 0.000
B 2.723 -2.131 4.047
B -0.348 -1.886 6.307
B 2.530 -1.665 1.025
B -0.288 -1.091 3.194
B 1.700 -4.176 7.504
Ir 0.743 -2.426 4.547
Ir 2.896 -4.182 4.193
Ir 4.645 -2.187 5.045
Ir 1.861 -0.698 2.669
Ir 1.526 -2.126 7.358
Ir 3.680 -3.882 7.004
```

Computed properties:
crystal system: monoclinic
electronic total energy: -8.20 eV/atom
formation energy: -0.4449 eV per atom
symmetry: C2/m (12)

18.
A relaxed structure of Y2B10Ir, computed with PBE.

```
26
Lattice="-3.564 1.564 1.519 -2.690 -4.845 -1.323 2.521 -4.195 10.235" Properties=species:S:1:pos:R:3 pbc="T T T"
Y -0.396 -4.284 9.228
Y -3.337 -3.192 1.203
Y -2.324 -5.736 6.199
Y -1.409 -1.740 4.232
B 1.048 -2.851 5.396
B -1.218 -6.189 3.516
B 0.749 -7.014 8.981
B -0.919 -2.026 -0.069
B 1.390 -3.586 6.955
B -1.560 -5.454 1.957
B -1.366 -1.095 1.387
B -0.952 -7.002 8.441
B -3.467 -3.993 4.006
B -1.682 -2.861 7.029
B -2.368 -6.380 9.044
B -2.782 -0.474 1.990
B -0.266 -3.482 6.425
B -2.051 -4.615 3.402
B 0.337 -1.082 1.905
B -0.506 -7.957 7.007
B -0.723 -3.980 2.403
B 0.553 -5.059 6.509
B -0.481 -2.588 1.537
B 0.311 -6.452 7.375
Ir -0.085 -4.520 4.456
Ir 0.000 0.000 0.000
```

Computed properties:
crystal system: orthorhombic
electronic total energy: -7.34 eV/atom
formation energy: -0.5276 eV per atom
symmetry: Pbam (55)

19.
A relaxed structure of YBIr2, computed with PBE.

```
8
Lattice="-0.995 0.769 -4.628 1.974 -4.223 -1.126 -5.561 -4.768 -2.082" Properties=species:S:1:pos:R:3 pbc="T T T"
Y 0.000 0.000 0.000
Y -3.033 -2.863 -4.794
B 0.490 -1.727 -2.877
B -1.548 -5.359 -3.042
Ir -1.587 -1.377 -2.727
Ir -0.458 -3.598 -2.630
Ir -3.451 -5.626 -3.920
Ir -3.666 -5.844 -6.395
```

Computed properties:
crystal system: tetragonal
electronic total energy: -7.93 eV/atom
formation energy: -0.2095 eV per atom
symmetry: I-42d (122)

20.
A relaxed structure of YBIr, computed with PBE.

```
6
Lattice="-2.773 0.803 1.839 -2.946 -2.678 -3.272 3.146 -3.980 3.296" Properties=species:S:1:pos:R:3 pbc="T T T"
Y -2.102 -4.223 1.861
Y -0.471 -1.632 0.003
B -1.795 -3.977 -0.970
B -0.777 -1.878 2.834
Ir -3.254 -2.461 -0.646
Ir 0.681 -3.394 2.509
```

Computed properties:
polymorph energy (0 for the lowest one): 3.6 kJ/mol of atoms
crystal system: monoclinic
electronic total energy: -7.96 eV/atom
formation energy: -0.6225 eV per atom
symmetry: C2/m (12)

21.
A relaxed structure of YB3Ir, computed with PBE.

```
5
Lattice="4.250 0.000 0.000 0.000 4.250 0.000 0.000 0.000 4.250" Properties=species:S:1:pos:R:3 pbc="T T T"
Y 0.000 0.000 0.000
B 0.000 2.125 0.000
B 0.000 0.000 2.125
B 2.125 0.000 0.000
Ir 2.125 2.125 2.125
```

Computed properties:
polymorph energy (0 for the lowest one): 227.7 kJ/mol of atoms
crystal system: cubic
electronic total energy: -4.39 eV/atom
formation energy: 2.6790 eV per atom
symmetry: Pm-3m (221)

22.
A relaxed structure of Y2BIr3, computed with PBE.

```
6
Lattice="-2.916 -1.249 -0.419 2.178 -4.580 -1.507 0.355 0.904 7.050" Properties=species:S:1:pos:R:3 pbc="T T T"
Y -1.463 -1.371 2.050
Y 1.081 -3.554 3.074
B 1.089 -2.290 -0.754
Ir -0.010 -1.568 4.748
Ir 0.000 0.000 0.000
Ir -0.372 -3.356 0.376
```

Computed properties:
crystal system: orthorhombic
electronic total energy: -7.86 eV/atom
formation energy: -0.1645 eV per atom
symmetry: Immm (71)